Record 1
Computed, not measured: an optimized crystal structure of Mo2Ir at the PBE level of DFT.

Cell: 2.7149 4.0882 18.1873 Å, 90.00 90.00 90.00°
Atoms (fractional coordinates):
Mo: 0.0000 0.2500 0.0389
Mo: 0.0000 0.2500 0.1840
Mo: 0.0000 0.7500 0.8160
Mo: 0.0000 0.7500 0.9611
Mo: 0.5000 0.2500 0.3160
Mo: 0.5000 0.2500 0.4611
Mo: 0.5000 0.7500 0.5389
Mo: 0.5000 0.7500 0.6840
Ir: 0.0000 0.2500 0.6128
Ir: 0.0000 0.7500 0.3872
Ir: 0.5000 0.2500 0.8872
Ir: 0.5000 0.7500 0.1128

Magnetic moment = 0.0 μB per formula unit
Energy of formation from the pure elements = 0.355 eV/atom

***

Record 2
Computed, not measured: an optimized crystal structure of MoIr at the PBE level of DFT.

Cell: 4.2385 4.2385 5.4897 Å, 90.00 90.00 120.00°
Atoms (fractional coordinates):
Mo: 0.3333 0.6667 0.0000
Mo: 0.6667 0.3333 0.5000
Ir: 0.3333 0.6667 0.4408
Ir: 0.6667 0.3333 0.9408

Magnetic moment = 0.0 μB per formula unit
Energy of formation from the pure elements = 0.862 eV/atom

***

Record 3
Computed, not measured: an optimized crystal structure of MoIr at the PBE level of DFT.

Cell: 6.9202 6.9202 6.9202 Å, 90.00 90.00 90.00°
Atoms (fractional coordinates):
Mo: 0.0000 0.2500 0.5000
Mo: 0.0000 0.7500 0.5000
Mo: 0.2500 0.5000 0.0000
Mo: 0.5000 0.0000 0.2500
Mo: 0.5000 0.0000 0.7500
Mo: 0.7500 0.5000 0.0000
Ir: 0.0000 0.5000 0.2500
Ir: 0.0000 0.5000 0.7500
Ir: 0.2500 0.0000 0.5000
Ir: 0.5000 0.2500 0.0000
Ir: 0.5000 0.7500 0.0000
Ir: 0.7500 0.0000 0.5000

Magnetic moment = 0.0 μB per formula unit
Energy of formation from the pure elements = 1.246 eV/atom

***

Record 4
Computed, not measured: an optimized crystal structure of Mo5Ir4 at the PBE level of DFT.

Cell: 7.6271 7.6271 5.5064 Å, 90.00 90.00 120.00°
Atoms (fractional coordinates):
Mo: 0.0000 0.3388 0.2500
Mo: 0.0000 0.6612 0.7500
Mo: 0.3333 0.6667 0.0000
Mo: 0.3333 0.6667 0.5000
Mo: 0.3388 0.0000 0.2500
Mo: 0.3388 0.3388 0.7500
Mo: 0.6612 0.0000 0.7500
Mo: 0.6612 0.6612 0.2500
Mo: 0.6667 0.3333 0.0000
Mo: 0.6667 0.3333 0.5000
Ir: 0.0000 0.0000 0.0000
Ir: 0.0000 0.0000 0.5000
Ir: 0.0000 0.3294 0.7500
Ir: 0.0000 0.6706 0.2500
Ir: 0.3294 0.0000 0.7500
Ir: 0.3294 0.3294 0.2500
Ir: 0.6706 0.0000 0.2500
Ir: 0.6706 0.6706 0.7500

Magnetic moment = 0.0 μB per formula unit
Energy of formation from the pure elements = -0.111 eV/atom

***

Record 5
Computed, not measured: an optimized crystal structure of Mo2Ir at the PBE level of DFT.

Cell: 2.7439 3.9619 8.5135 Å, 90.00 90.00 90.00°
Atoms (fractional coordinates):
Mo: 0.0000 0.0000 0.1635
Mo: 0.0000 0.0000 0.8365
Mo: 0.5000 0.5000 0.3365
Mo: 0.5000 0.5000 0.6635
Ir: 0.0000 0.0000 0.5000
Ir: 0.5000 0.5000 0.0000

Magnetic moment = 0.0 μB per formula unit
Energy of formation from the pure elements = -0.026 eV/atom

***

Record 6
Computed, not measured: an optimized crystal structure of Mo2Ir at the PBE level of DFT.

Cell: 6.0651 6.0651 6.0651 Å, 90.00 90.00 90.00°
Atoms (fractional coordinates):
Mo: 0.1164 0.1164 0.1164
Mo: 0.1164 0.3836 0.6164
Mo: 0.3836 0.6164 0.1164
Mo: 0.3836 0.8836 0.6164
Mo: 0.6164 0.1164 0.3836
Mo: 0.6164 0.3836 0.8836
Mo: 0.8836 0.6164 0.3836
Mo: 0.8836 0.8836 0.8836
Ir: 0.0000 0.0000 0.5000
Ir: 0.0000 0.5000 0.0000
Ir: 0.5000 0.0000 0.0000
Ir: 0.5000 0.5000 0.5000

Magnetic moment = 0.0 μB per formula unit
Energy of formation from the pure elements = 0.835 eV/atom

***

Record 7
Computed, not measured: an optimized crystal structure of MoIr at the PBE level of DFT.

Cell: 2.7673 2.7673 9.1887 Å, 90.00 90.00 120.00°
Atoms (fractional coordinates):
Mo: 0.3333 0.6667 0.3646
Mo: 0.6667 0.3333 0.6354
Ir: 0.3333 0.6667 0.8719
Ir: 0.6667 0.3333 0.1281

Magnetic moment = 0.0 μB per formula unit
Energy of formation from the pure elements = -0.072 eV/atom

***

Record 8
Computed, not measured: an optimized crystal structure of Mo2Ir at the PBE level of DFT.

Cell: 12.3506 12.3506 12.3506 Å, 161.75 161.75 25.92°
Atoms (fractional coordinates):
Mo: 0.0395 0.7895 0.2500
Mo: 0.1235 0.3735 0.7500
Mo: 0.2105 0.9605 0.2500
Mo: 0.3735 0.1235 0.2500
Mo: 0.6265 0.8765 0.7500
Mo: 0.7895 0.0395 0.7500
Mo: 0.8765 0.6265 0.2500
Mo: 0.9605 0.2105 0.7500
Ir: 0.2898 0.5398 0.7500
Ir: 0.4602 0.7102 0.7500
Ir: 0.5398 0.2898 0.2500
Ir: 0.7102 0.4602 0.2500

Magnetic moment = 0.0 μB per formula unit
Energy of formation from the pure elements = -0.100 eV/atom

***

Record 9
Computed, not measured: an optimized crystal structure of Mo2Ir at the PBE level of DFT.

Cell: 6.5727 6.5727 3.9572 Å, 90.00 90.00 120.00°
Atoms (fractional coordinates):
Mo: 0.0000 0.2554 0.0000
Mo: 0.0000 0.5937 0.5000
Mo: 0.2554 0.0000 0.0000
Mo: 0.4063 0.4063 0.5000
Mo: 0.5937 0.0000 0.5000
Mo: 0.7446 0.7446 0.0000
Ir: 0.0000 0.0000 0.5000
Ir: 0.3333 0.6667 0.0000
Ir: 0.6667 0.3333 0.0000

Magnetic moment = 0.0 μB per formula unit
Energy of formation from the pure elements = 0.206 eV/atom

***

Record 10
Computed, not measured: an optimized crystal structure of MoIr at the PBE level of DFT.

Cell: 4.8519 4.4321 5.5978 Å, 90.00 90.00 90.00°
Atoms (fractional coordinates):
Mo: 0.0911 0.2500 0.1217
Mo: 0.4089 0.7500 0.6217
Mo: 0.5911 0.2500 0.3783
Mo: 0.9089 0.7500 0.8783
Ir: 0.0838 0.2500 0.6251
Ir: 0.4162 0.7500 0.1251
Ir: 0.5838 0.2500 0.8749
Ir: 0.9162 0.7500 0.3749

Magnetic moment = 0.0 μB per formula unit
Energy of formation from the pure elements = -0.269 eV/atom

***

Record 11
Computed, not measured: an optimized crystal structure of Mo5Ir4 at the PBE level of DFT.

Cell: 6.2247 6.2247 6.2247 Å, 95.73 95.73 143.15°
Atoms (fractional coordinates):
Mo: 0.0000 0.0000 0.0000
Mo: 0.3286 0.3286 0.6573
Mo: 0.3286 0.6714 0.0000
Mo: 0.6714 0.3286 0.0000
Mo: 0.6714 0.6714 0.3427
Ir: 0.0000 0.3309 0.3309
Ir: 0.0000 0.6691 0.6691
Ir: 0.3309 0.0000 0.3309
Ir: 0.6691 0.0000 0.6691

Magnetic moment = 0.0 μB per formula unit
Energy of formation from the pure elements = -0.113 eV/atom

***

Record 12
Computed, not measured: an optimized crystal structure of MoIr at the PBE level of DFT.

Cell: 2.7791 2.7791 4.4962 Å, 90.00 90.00 120.00°
Atoms (fractional coordinates):
Mo: 0.0000 0.0000 0.0000
Ir: 0.3333 0.6667 0.5000

Magnetic moment = 0.0 μB per formula unit
Energy of formation from the pure elements = -0.197 eV/atom

***

Record 13
Computed, not measured: an optimized crystal structure of MoIr4 at the PBE level of DFT.

Cell: 5.7066 5.7066 5.7066 Å, 90.00 90.00 90.00°
Atoms (fractional coordinates):
Mo: 0.0000 0.0000 0.0000
Mo: 0.5000 0.5000 0.5000
Ir: 0.2500 0.2500 0.2500
Ir: 0.2500 0.2500 0.7500
Ir: 0.2500 0.7500 0.2500
Ir: 0.2500 0.7500 0.7500
Ir: 0.7500 0.2500 0.2500
Ir: 0.7500 0.2500 0.7500
Ir: 0.7500 0.7500 0.2500
Ir: 0.7500 0.7500 0.7500

Magnetic moment = 0.0 μB per formula unit
Energy of formation from the pure elements = 1.055 eV/atom

***

Record 14
Computed, not measured: an optimized crystal structure of MoIr5 at the PBE level of DFT.

Cell: 3.8875 11.6348 3.8948 Å, 90.00 90.00 90.00°
Atoms (fractional coordinates):
Mo: 0.0000 0.0000 0.0000
Mo: 0.5000 0.5000 0.0000
Ir: 0.0000 0.1657 0.5000
Ir: 0.0000 0.3395 0.0000
Ir: 0.0000 0.5000 0.5000
Ir: 0.0000 0.6605 0.0000
Ir: 0.0000 0.8343 0.5000
Ir: 0.5000 0.0000 0.5000
Ir: 0.5000 0.1605 0.0000
Ir: 0.5000 0.3343 0.5000
Ir: 0.5000 0.6657 0.5000
Ir: 0.5000 0.8395 0.0000

Magnetic moment = 0.0 μB per formula unit
Energy of formation from the pure elements = -0.205 eV/atom

***

Record 15
Computed, not measured: an optimized crystal structure of Mo4Ir at the PBE level of DFT.

Cell: 4.0271 4.0271 10.9603 Å, 90.00 90.00 90.00°
Atoms (fractional coordinates):
Mo: 0.0000 0.0000 0.1104
Mo: 0.0000 0.0000 0.8896
Mo: 0.0000 0.5000 0.2500
Mo: 0.0000 0.5000 0.7500
Mo: 0.5000 0.0000 0.2500
Mo: 0.5000 0.0000 0.7500
Mo: 0.5000 0.5000 0.3896
Mo: 0.5000 0.5000 0.6104
Ir: 0.0000 0.0000 0.5000
Ir: 0.5000 0.5000 0.0000

Magnetic moment = 0.0 μB per formula unit
Energy of formation from the pure elements = 0.995 eV/atom

***

Record 16
Computed, not measured: an optimized crystal structure of Mo2Ir at the PBE level of DFT.

Cell: 2.6922 15.1826 4.5465 Å, 90.00 90.00 90.00°
Atoms (fractional coordinates):
Mo: 0.0000 0.0501 0.2500
Mo: 0.0000 0.3764 0.2500
Mo: 0.0000 0.6236 0.7500
Mo: 0.0000 0.9499 0.7500
Mo: 0.5000 0.1236 0.7500
Mo: 0.5000 0.4499 0.7500
Mo: 0.5000 0.5501 0.2500
Mo: 0.5000 0.8764 0.2500
Ir: 0.0000 0.2805 0.7500
Ir: 0.0000 0.7195 0.2500
Ir: 0.5000 0.2195 0.2500
Ir: 0.5000 0.7805 0.7500

Magnetic moment = 0.0 μB per formula unit
Energy of formation from the pure elements = 0.011 eV/atom

***

Record 17
Computed, not measured: an optimized crystal structure of Mo2Ir at the PBE level of DFT.

Cell: 4.4323 4.4323 2.7238 Å, 90.00 90.00 120.00°
Atoms (fractional coordinates):
Mo: 0.3333 0.6667 0.0000
Mo: 0.6667 0.3333 0.0000
Ir: 0.0000 0.0000 0.5000

Magnetic moment = 0.0 μB per formula unit
Energy of formation from the pure elements = 0.060 eV/atom

***

Record 18
Computed, not measured: an optimized crystal structure of Mo4Ir at the PBE level of DFT.

Cell: 2.7699 2.7699 35.5899 Å, 90.00 90.00 120.00°
Atoms (fractional coordinates):
Mo: 0.0000 0.0000 0.1035
Mo: 0.0000 0.0000 0.2989
Mo: 0.0000 0.0000 0.7011
Mo: 0.0000 0.0000 0.8965
Mo: 0.3333 0.6667 0.3678
Mo: 0.3333 0.6667 0.5632
Mo: 0.3333 0.6667 0.7702
Mo: 0.3333 0.6667 0.9656
Mo: 0.6667 0.3333 0.0344
Mo: 0.6667 0.3333 0.2298
Mo: 0.6667 0.3333 0.4368
Mo: 0.6667 0.3333 0.6322
Ir: 0.0000 0.0000 0.5000
Ir: 0.3333 0.6667 0.1667
Ir: 0.6667 0.3333 0.8333

Magnetic moment = 0.0 μB per formula unit
Energy of formation from the pure elements = 0.200 eV/atom

***

Record 19
Computed, not measured: an optimized crystal structure of Mo2Ir at the PBE level of DFT.

Cell: 5.1196 5.1196 5.1196 Å, 60.00 60.00 60.00°
Atoms (fractional coordinates):
Mo: 0.0000 0.0000 0.0000
Mo: 0.0000 0.0000 0.5000
Mo: 0.0000 0.5000 0.0000
Mo: 0.5000 0.0000 0.0000
Ir: 0.3750 0.3750 0.3750
Ir: 0.6250 0.6250 0.6250

Magnetic moment = 0.0 μB per formula unit
Energy of formation from the pure elements = 0.209 eV/atom

***

Record 20
Computed, not measured: an optimized crystal structure of MoIr7 at the PBE level of DFT.

Cell: 5.4879 5.4879 5.4879 Å, 60.00 60.00 60.00°
Atoms (fractional coordinates):
Mo: 0.0000 0.0000 0.0000
Ir: 0.0000 0.0000 0.5000
Ir: 0.0000 0.5000 0.0000
Ir: 0.0000 0.5000 0.5000
Ir: 0.5000 0.0000 0.0000
Ir: 0.5000 0.0000 0.5000
Ir: 0.5000 0.5000 0.0000
Ir: 0.5000 0.5000 0.5000

Magnetic moment = 0.0 μB per formula unit
Energy of formation from the pure elements = -0.129 eV/atom